No. 1
{"formula": "PrNd8Ho4", "functional": "PBE-GGA", "state": "optimized geometry", "space_group": "No. 166", "delta_e_f_ev_per_atom": 0.177, "m_tot_mub_per_fu": 0.00, "density_g_cm3": 7.249, "lattice": [[6.499, 0.000, -3.506], [-4.195, 6.077, 0.000], [1.344, 0.929, 10.267]], "species": ["Ho", "Ho", "Ho", "Ho", "Nd", "Nd", "Nd", "Nd", "Nd", "Nd", "Nd", "Nd", "Pr"], "fractional_positions": [[0.500, 0.000, 0.000], [0.000, 0.000, 0.000], [0.500, 0.500, 0.000], [0.000, 0.500, 0.000], [0.953, 0.752, 0.705], [0.047, 0.248, 0.295], [0.953, 0.201, 0.705], [0.497, 0.248, 0.295], [0.432, 0.216, 0.648], [0.047, 0.799, 0.295], [0.503, 0.752, 0.705], [0.568, 0.784, 0.352], [0.000, 0.500, 0.500]]}



No. 2
{"formula": "Pr5Nd2Ho2", "functional": "PBE-GGA", "state": "optimized geometry", "space_group": "No. 46", "delta_e_f_ev_per_atom": 0.204, "m_tot_mub_per_fu": 0.00, "density_g_cm3": 6.955, "lattice": [[12.016, 0.000, 0.000], [0.000, 6.951, 0.000], [-6.008, -3.475, 7.564]], "species": ["Pr", "Pr", "Pr", "Pr", "Pr", "Pr", "Pr", "Pr", "Pr", "Pr", "Nd", "Nd", "Nd", "Nd", "Ho", "Ho", "Ho", "Ho"], "fractional_positions": [[0.377, 0.020, 0.286], [0.201, 0.159, 0.894], [0.995, 0.159, 0.500], [0.193, 0.659, 0.894], [0.807, 0.765, 0.106], [0.799, 0.265, 0.106], [0.409, 0.520, 0.286], [0.591, 0.234, 0.714], [0.623, 0.734, 0.714], [0.005, 0.659, 0.500], [0.870, 0.429, 0.747], [0.377, 0.929, 0.747], [0.623, 0.181, 0.253], [0.130, 0.681, 0.253], [0.500, 0.537, 0.000], [0.259, 0.351, 0.500], [0.741, 0.851, 0.500], [0.000, 0.037, 0.000]]}